Entry from Alexandria via LeMat-Bulk: crystalline HoEr3Tm6 at its relaxed geometry (PBE-GGA).

Results
**V**: 30.49 Å³/atom
**Energy of formation**: 126 meV per atom
**Space group**: No. 36
**E above lowest polymorph**: 0 meV/atom

```
20
Lattice="-3.2090 5.2394 1.2184 -8.4493 -6.1832 4.3351 9.1709 4.4701 4.9324" Properties=species:S:1:pos:R:3 pbc="T T T"
Ho 6.2657 2.8253 4.8546
Ho -7.2485 -1.7556 5.0601
Er -3.2082 -0.2098 8.2218
Er -0.3401 5.1140 8.9826
Er 1.4712 0.4875 4.7958
Er -2.9555 1.4009 5.3093
Er -0.8177 6.2480 2.8483
Er -3.6858 0.9241 2.0875
Tm -0.7924 -1.4649 6.3687
Tm -0.2572 2.4485 7.0504
Tm 3.2918 2.8967 6.8037
Tm -6.0303 0.8503 7.1513
Tm -9.2140 -4.3477 4.7339
Tm 1.3403 5.3713 5.7087
Tm -4.0521 -1.4787 4.8624
Tm 6.2770 8.6080 5.9227
Tm 3.0366 3.5024 3.5269
Tm -6.2854 1.4560 3.8744
Tm -1.0555 -0.8402 2.9895
Tm -0.5203 3.0731 3.6712
```